## Zr2CoBr (PBE)

Data for an optimized crystal structure of Zr2CoBr.

Unit cell a=5.4494 b=5.4494 c=4.4266 alpha=97.75 beta=97.75 gamma=34.49
Closest atoms and distances in Å follow each position.
Element x y z (fractional)
Zr 0.0000 0.0000 0.0000  1 Co 2.66, 4 Br 2.80-2.81
Zr 0.7133 0.7133 0.6071  2 Co 2.62, 1 Br 2.80
Co 0.2578 0.2578 0.0755  1 Br 2.44, 3 Zr 2.62-2.66
Br 0.4415 0.4415 0.4828  1 Co 2.44

Output
The calculated total energy comes out at -6.59 eV/atom. Its space-group type is Cm, No. 8. The calculation puts the formation energy from raw total energies at -0.121 eV per atom.

## PrDy5In2 (PBE)

Data for an optimized crystal structure of PrDy5In2.

Unit cell a=8.4677 b=8.4677 c=8.4677 alpha=155.33 beta=103.20 gamma=82.12
Closest atoms and distances in Å follow each position.
Element x y z (fractional)
Pr 0.0000 0.0000 0.0000  4 In 3.57, 2 Pr 3.62, 8 Dy 3.82
Dy 0.1394 0.3647 0.7747  3 In 3.19-3.37, 5 Dy 3.45-3.48
Dy 0.4100 0.6353 0.7747  3 In 3.19-3.37, 5 Dy 3.45-3.48
Dy 0.5000 0.0000 0.5000  2 In 3.30, 10 Dy 3.45-3.62
Dy 0.5900 0.3647 0.2253  3 In 3.19-3.37, 5 Dy 3.45-3.48
Dy 0.8606 0.6353 0.2253  3 In 3.19-3.37, 5 Dy 3.45-3.48
In 0.2415 0.7415 0.5000  7 Dy 3.19-3.37, 2 Pr 3.57
In 0.7585 0.2585 0.5000  7 Dy 3.19-3.37, 2 Pr 3.57

Output
The calculated total energy comes out at -4.34 eV/atom. Its space-group type is Immm, No. 71.

## CaAsRu4 (PBE)

Data for an optimized crystal structure of CaAsRu4.

Unit cell a=5.2468 b=5.2468 c=5.2468 alpha=60.00 beta=60.00 gamma=60.00
Closest atoms and distances in Å follow each position.
Element x y z (fractional)
Ca 0.0000 0.0000 0.0000  12 Ru 3.08, 4 As 3.21
As 0.2500 0.2500 0.2500  12 Ru 3.07, 4 Ca 3.21
Ru 0.1279 0.6240 0.6240  6 Ru 2.60-2.64
Ru 0.6240 0.1279 0.6240  6 Ru 2.60-2.64
Ru 0.6240 0.6240 0.1279  6 Ru 2.60-2.64
Ru 0.6240 0.6240 0.6240  6 Ru 2.60-2.64

Output
The calculated total energy comes out at -6.93 eV/atom. Its space-group type is F-43m, No. 216.

## Pm12IrAu6 (PBE)

Data for an optimized crystal structure of Pm12IrAu6.

Unit cell a=8.5716 b=8.5716 c=8.5716 alpha=98.64 beta=98.64 gamma=98.64
Closest atoms and distances in Å follow each position.
Element x y z (fractional)
Pm 0.0388 0.6817 0.9323  1 Ir 2.78, 2 Au 3.01-3.09
Pm 0.0677 0.9612 0.3183  1 Ir 2.78, 2 Au 3.01-3.09
Pm 0.1823 0.4258 0.5787  4 Au 2.93-3.17
Pm 0.3183 0.0677 0.9612  1 Ir 2.78, 2 Au 3.01-3.09
Pm 0.4213 0.8177 0.5742  4 Au 2.93-3.17
Pm 0.4258 0.5787 0.1823  4 Au 2.93-3.17
Pm 0.5742 0.4213 0.8177  4 Au 2.93-3.17
Pm 0.5787 0.1823 0.4258  4 Au 2.93-3.17
Pm 0.6817 0.9323 0.0388  1 Ir 2.78, 2 Au 3.01-3.09
Pm 0.8177 0.5742 0.4213  4 Au 2.93-3.17
Pm 0.9323 0.0388 0.6817  1 Ir 2.78, 2 Au 3.01-3.09
Pm 0.9612 0.3183 0.0677  1 Ir 2.78, 2 Au 3.01-3.09
Ir 0.0000 0.0000 0.0000  6 Pm 2.78
Au 0.1322 0.6239 0.3064  6 Pm 2.93-3.17
Au 0.3064 0.1322 0.6239  6 Pm 2.93-3.17
Au 0.3761 0.6936 0.8678  6 Pm 2.93-3.17
Au 0.6239 0.3064 0.1322  6 Pm 2.93-3.17
Au 0.6936 0.8678 0.3761  6 Pm 2.93-3.17
Au 0.8678 0.3761 0.6936  6 Pm 2.93-3.17

Output
The calculated total energy comes out at -4.98 eV/atom. Its space-group type is R-3, No. 148.